*A*
Here is a PBEsol-optimized structure of BaTaMo2 from the Alexandria database. Energies are from SCAN.

abc: 3.184 5.281 5.590
angles: 118.19 106.55 90.00
Sites, in units of the cell vectors:
Ba1 0.000 0.500 0.000
Mo1 0.764 0.764 0.528
Mo2 0.236 0.236 0.472
Ta1 0.500 0.000 0.000

## Properties
Total magnetization ... 0.00 μB/f.u.

***

*B*
Here is a PBEsol-optimized structure of BaTaMo2 from the Alexandria database. Energies are from SCAN.

abc: 3.975 3.975 5.656
angles: 110.57 110.57 90.00
Sites, in units of the cell vectors:
Ba1 0.250 0.750 0.500
Mo1 0.000 0.000 0.000
Mo2 0.750 0.250 0.500
Ta1 0.500 0.500 0.000

## Properties
Total magnetization ... 0.00 μB/f.u.

***

*C*
Here is a PBEsol-optimized structure of BaTaMo2 from the Alexandria database. Energies are from SCAN.

abc: 3.496 3.496 7.613
angles: 90.00 90.00 90.00
Sites, in units of the cell vectors:
Ba1 0.500 0.500 0.500
Mo1 0.000 0.000 0.846
Mo2 0.000 0.000 0.154
Ta1 0.500 0.500 0.000

## Properties
Total magnetization ... 0.00 μB/f.u.

***

*D*
Here is a PBEsol-optimized structure of BaTaMo2 from the Alexandria database. Energies are from SCAN.

abc: 4.782 4.782 4.782
angles: 60.00 60.00 60.00
Sites, in units of the cell vectors:
Ba1 0.500 0.500 0.500
Mo1 0.250 0.250 0.250
Mo2 0.750 0.750 0.750
Ta1 0.000 0.000 0.000

## Properties
Total magnetization ... 0.00 μB/f.u.

***

Result of the stability comparison: *C* is the most stable of them.

***

*A*
Here is a PBEsol-optimized structure of BaTe2Mo from the Alexandria database. Energies are from SCAN.

abc: 4.355 4.355 7.475
angles: 73.06 73.06 60.00
Site moments in Bohr magnetons follow the coordinates.
Sites, in units of the cell vectors:
Mo1 0.000 0.000 0.000  1.99
Te1 0.272 0.272 0.183  -0.03
Te2 0.728 0.728 0.817  -0.03
Ba1 0.500 0.500 0.500  -0.04

## Properties
Total magnetization ... 2.00 μB/f.u.

***

*B*
Here is a PBEsol-optimized structure of BaTe2Mo from the Alexandria database. Energies are from SCAN.

abc: 5.215 5.215 5.215
angles: 60.00 60.00 60.00
Sites, in units of the cell vectors:
Ba1 0.000 0.000 0.000
Mo1 0.500 0.500 0.500
Te1 0.250 0.250 0.250
Te2 0.750 0.750 0.750

## Properties
Total magnetization ... 0.00 μB/f.u.

***

Result of the stability comparison: *A* is the most stable of them.

***

*A*
Here is a PBEsol-optimized structure of BaTl2Mo from the Alexandria database. Energies are from SCAN.

abc: 3.205 3.205 10.115
angles: 90.00 90.00 100.01
Sites, in units of the cell vectors:
Ba1 0.000 0.000 0.475
Mo1 0.500 0.500 0.222
Tl1 0.000 0.000 0.025
Tl2 0.500 0.500 0.778

## Properties
Total magnetization ... 0.00 μB/f.u.

***

*B*
Here is a PBEsol-optimized structure of BaTl2Mo from the Alexandria database. Energies are from SCAN.

abc: 4.996 5.729 4.996
angles: 64.15 90.00 115.85
Site moments in Bohr magnetons follow the coordinates.
Sites, in units of the cell vectors:
Ba1 0.500 0.000 0.500  0.12
Mo1 0.750 0.500 0.750  3.78
Tl1 0.000 0.000 0.000  -0.03
Tl2 0.250 0.500 0.250  -0.02

## Properties
Total magnetization ... 4.40 μB/f.u.

***

Result of the stability comparison: *B* is the most stable of them.

***

*A*
Here is a PBEsol-optimized structure of Ba2TlMo from the Alexandria database. Energies are from SCAN.

abc: 3.948 3.948 8.478
angles: 90.00 90.00 90.00
Site moments in Bohr magnetons follow the coordinates.
Sites, in units of the cell vectors:
Ba1 0.000 0.000 0.764  0.05
Ba2 0.000 0.000 0.236  0.05
Mo1 0.500 0.500 0.000  3.25
Tl1 0.500 0.500 0.500  -0.02

## Properties
Total magnetization ... 3.95 μB/f.u.

***

*B*
Here is a PBEsol-optimized structure of Ba2TlMo from the Alexandria database. Energies are from SCAN.

abc: 4.917 4.735 6.689
angles: 90.00 111.56 90.00
Site moments in Bohr magnetons follow the coordinates.
Sites, in units of the cell vectors:
Ba1 0.107 0.000 0.214  -0.02
Ba2 0.398 0.500 0.796  0.01
Mo1 0.807 0.000 0.613  2.92
Tl1 0.693 0.500 0.387  -0.09

## Properties
Total magnetization ... 3.10 μB/f.u.

***

Result of the stability comparison: *B* is the most stable of them.

***

*A*
Here is a PBEsol-optimized structure of Ba2YMo from the Alexandria database. Energies are from SCAN.

abc: 3.671 3.670 9.857
angles: 90.00 90.00 90.00
Site moments in Bohr magnetons follow the coordinates.
Sites, in units of the cell vectors:
Ba1 0.000 0.000 0.792  -0.04
Ba2 0.000 0.000 0.208  -0.04
Mo1 0.500 0.500 0.000  2.69
Y1 0.500 0.500 0.500  -0.67

## Properties
Total magnetization ... 1.47 μB/f.u.

***

*B*
Here is a PBEsol-optimized structure of Ba2YMo from the Alexandria database. Energies are from SCAN.

abc: 3.393 3.393 11.556
angles: 90.00 90.00 110.88
Site moments in Bohr magnetons follow the coordinates.
Sites, in units of the cell vectors:
Ba1 0.000 0.000 0.294  -0.01
Ba2 0.000 0.000 0.706  -0.01
Mo1 0.500 0.500 0.500  1.39
Y1 0.500 0.500 0.000  0.04

## Properties
Total magnetization ... 1.41 μB/f.u.

***

Result of the stability comparison: *A* is the most stable of them.

***

*A*
Here is a PBEsol-optimized structure of BaZn2Mo from the Alexandria database. Energies are from SCAN.

abc: 2.917 5.205 5.205
angles: 90.00 90.00 90.00
Sites, in units of the cell vectors:
Ba1 0.500 0.500 0.500
Mo1 0.500 0.000 0.000
Zn1 0.000 0.000 0.500
Zn2 0.000 0.500 0.000

## Properties
Total magnetization ... 0.00 μB/f.u.

***

*B*
Here is a PBEsol-optimized structure of BaZn2Mo from the Alexandria database. Energies are from SCAN.

abc: 3.029 3.030 8.539
angles: 90.00 90.00 90.00
Sites, in units of the cell vectors:
Ba1 0.000 0.000 0.492
Mo1 0.500 0.500 0.816
Zn1 0.000 0.000 0.009
Zn2 0.500 0.500 0.183

## Properties
Total magnetization ... 0.00 μB/f.u.

***

Result of the stability comparison: *B* is the most stable of them.

***

*A*
Here is a PBEsol-optimized structure of BaZrMo2 from the Alexandria database. Energies are from SCAN.

abc: 3.228 3.228 8.777
angles: 90.00 90.00 90.00
Sites, in units of the cell vectors:
Ba1 0.500 0.500 0.782
Mo1 0.000 0.000 0.075
Mo2 0.500 0.500 0.225
Zr1 0.000 0.000 0.418

## Properties
Total magnetization ... 0.00 μB/f.u.

***

*B*
Here is a PBEsol-optimized structure of BaZrMo2 from the Alexandria database. Energies are from SCAN.

abc: 3.347 4.881 4.881
angles: 90.00 90.00 90.00
Sites, in units of the cell vectors:
Ba1 0.500 0.000 0.000
Mo1 0.000 0.000 0.500
Mo2 0.000 0.500 0.000
Zr1 0.500 0.500 0.500

## Properties
Total magnetization ... 0.00 μB/f.u.

***

Result of the stability comparison: *A* is the most stable of them.